AcTbCuS4: optimized geometry, PBE-GGA.

The total energy is -5.747 eV/atom. Its volume is 153.4 Å³/f.u. Its uncorrected formation energy is -1554 meV/atom. As for the magnetization: 0.00 μB per cell.

The structure belongs to space group P2_1/m (No. 11); the cell edges are 6.779, 5.768 and 8.219 Å and the angles 90.00°, 107.27° and 90.00°. The inequivalent atoms are Ac at (0.236, 0.250, 0.434), Tb at (0.235, 0.250, 0.937), Cu at (0.255, 0.750, 0.184), S at (0.068, 0.750, 0.375), S at (0.069, 0.750, 0.904) and S at (0.485, 0.513, 0.765).

BeTe2S: optimized geometry, PBE-GGA.

The total energy is -2.856 eV/atom. The calculation puts the energy relative to the lowest polymorph listed for this composition at 0.425 eV/atom. Its volume is 100.9 Å³/f.u. Its uncorrected formation energy is 678 meV/atom. As for the magnetization: 0.00 μB per cell.

The structure belongs to space group R-3m (No. 166, hexagonal axes); the cell edges are 3.6561, 3.6561 and 26.1370 Å and the angles 90.00°, 90.00° and 120.00°. The inequivalent atoms are Be at (0.0000, 0.0000, 0.0000), Te at (0.0000, 0.0000, 0.0891) and S at (0.0000, 0.0000, 0.5000).

Sc3TlZn: optimized geometry, PBE-GGA.

The total energy is -3.928 eV/atom. The calculation puts the energy relative to the lowest polymorph listed for this composition at 0.834 eV/atom. Its volume is 154.2 Å³/f.u. As for the magnetization: 1.93 μB per cell.

The structure belongs to space group Pm-3m (No. 221); the cell edges are 5.362, 5.362 and 5.362 Å and the angles 90.00°, 90.00° and 90.00°. The inequivalent atoms are Sc at (0.000, 0.000, 0.500), Tl at (0.000, 0.000, 0.000) and Zn at (0.500, 0.500, 0.500).

Hf4Ga5Pt: optimized geometry, PBE-GGA.

The total energy is -6.451 eV/atom. Its volume is 188.4 Å³/f.u. As for the magnetization: 0.00 μB per cell.

The structure belongs to space group I4 (No. 79); the cell edges are 8.210, 8.210 and 5.589 Å and the angles 90.00°, 90.00° and 90.00°. The inequivalent atoms are Hf at (0.061, 0.687, 0.000), Ga at (0.000, 0.000, 0.232), Ga at (0.096, 0.760, 0.506) and Pt at (0.000, 0.000, 0.785).

Ba4As2ICl: optimized geometry, PBE-GGA.

The total energy is -4.119 eV/atom. Its volume is 325.6 Å³/f.u. Its uncorrected formation energy is -1570 meV/atom. As for the magnetization: 0.00 μB per cell.

The structure belongs to space group P2/m (No. 10); the cell edges are 8.369, 4.803 and 8.565 Å and the angles 90.00°, 108.92° and 90.00°. The inequivalent atoms are Ba at (0.232, 0.000, 0.211), Ba at (0.255, 0.500, 0.783), As at (0.000, 0.500, 0.000), As at (0.500, 0.000, 0.000), I at (0.500, 0.500, 0.500) and Cl at (0.000, 0.000, 0.500).

Zr2BC4: optimized geometry, PBE-GGA.

The total energy is -8.026 eV/atom. Its volume is 72.2 Å³/f.u. As for the magnetization: 0.00 μB per cell.

The structure belongs to space group I4/mmm (No. 139); the cell edges are 3.288, 3.288 and 13.353 Å and the angles 90.00°, 90.00° and 90.00°. The inequivalent atoms are Zr at (0.000, 0.000, 0.153), B at (0.000, 0.000, 0.500), C at (0.000, 0.000, 0.322) and C at (0.000, 0.500, 0.000).

NaCd2Sb2: optimized geometry, PBE-GGA.

The total energy is -2.324 eV/atom. The calculation puts the energy relative to the lowest polymorph listed for this composition at 0.111 eV/atom. Its volume is 136.7 Å³/f.u. Its uncorrected formation energy is -45 meV/atom. As for the magnetization: 0.00 μB per cell.

The structure belongs to space group P4/mbm (No. 127); the cell edges are 8.618, 8.618 and 3.681 Å and the angles 90.00°, 90.00° and 90.00°. The inequivalent atoms are Na at (0.000, 0.000, 0.000), Cd at (0.136, 0.364, 0.500) and Sb at (0.162, 0.662, 0.000).

Cr3HgW: optimized geometry, PBE-GGA.

The total energy is -6.197 eV/atom. The calculation puts the energy relative to the lowest polymorph listed for this composition at 0.787 eV/atom. Its volume is 119.4 Å³/f.u. As for the magnetization: 8.61 μB per cell.

The structure belongs to space group Pm-3m (No. 221); the cell edges are 4.925, 4.925 and 4.925 Å and the angles 90.00°, 90.00° and 90.00°. The inequivalent atoms are Cr at (0.000, 0.000, 0.500), Hg at (0.000, 0.000, 0.000) and W at (0.500, 0.500, 0.500).

K5Si: optimized geometry, PBE-GGA.

The total energy is -1.585 eV/atom. The calculation puts the energy relative to the lowest polymorph listed for this composition at 0.043 eV/atom. Its volume is 293.4 Å³/f.u. Its uncorrected formation energy is 234 meV/atom. As for the magnetization: 0.33 μB per cell.

The structure belongs to space group Cmmm (No. 65); the cell edges are 5.876, 16.660 and 5.994 Å and the angles 90.00°, 90.00° and 90.00°. The inequivalent atoms are K at (0.000, 0.000, 0.000), K at (0.000, 0.135, 0.500), K at (0.000, 0.364, 0.000) and Si at (0.000, 0.500, 0.500).

CuRe3O12: optimized geometry, PBE-GGA.

The total energy is -7.631 eV/atom. Its volume is 301.1 Å³/f.u. Its uncorrected formation energy is -1322 meV/atom. As for the magnetization: 10.76 μB per cell.

The structure belongs to space group R3c (No. 161, hexagonal axes); the cell edges are 8.6857, 8.6857 and 27.6478 Å and the angles 90.00°, 90.00° and 120.00°. The inequivalent atoms are Cu at (0.0000, 0.0000, 0.0000), Re at (0.0256, 0.3966, 0.2569), O at (0.1013, 0.2189, 0.5405), O at (0.1515, 0.3919, 0.9022), O at (0.1960, 0.4118, 0.2926) and O at (0.2136, 0.1035, 0.4582).

Nb3PtI: optimized geometry, PBE-GGA.

The total energy is -6.470 eV/atom. The calculation puts the energy relative to the lowest polymorph listed for this composition at 0.000 eV/atom. Its volume is 124.2 Å³/f.u. Its uncorrected formation energy is 1090 meV/atom. As for the magnetization: 0.00 μB per cell.

The structure belongs to space group Pm-3m (No. 221); the cell edges are 4.990, 4.990 and 4.990 Å and the angles 90.00°, 90.00° and 90.00°. The inequivalent atoms are Nb at (0.000, 0.000, 0.500), Pt at (0.000, 0.000, 0.000) and I at (0.500, 0.500, 0.500).

TbTm4Lu: optimized geometry, PBE-GGA.

The total energy is -4.238 eV/atom. Its volume is 190.5 Å³/f.u. As for the magnetization: 0.09 μB per cell.

The structure belongs to space group F-43m (No. 216); the cell edges are 9.134, 9.134 and 9.134 Å and the angles 90.00°, 90.00° and 90.00°. The inequivalent atoms are Tb at (0.000, 0.000, 0.000), Tm at (0.125, 0.125, 0.625) and Lu at (0.250, 0.250, 0.250).